Below is an optimized crystal structure of Rb2MgNi3F12, with properties calculated at the PBE+U level.

a = 7.2483 Å, b = 7.2483 Å, c = 17.7791 Å
α = 90.00°, β = 90.00°, γ = 120.00°
Space group R-3m (No. 166, hexagonal axes)
One atom of each set of equivalent atoms:
Rb (0.0000, 0.0000, 0.1276) [6 per cell]
Mg (0.0000, 0.0000, 0.5000) [3 per cell]
Ni (0.0000, 0.5000, 0.0000) [9 per cell]
F (0.0675, 0.5338, 0.1053) [18 per cell]
F (0.0714, 0.5357, 0.3556) [18 per cell]

- E (eV for the cell shown) = -228.078
- M_tot (μB per cell) = 24.0